DFT (PBE-GGA) results for crystalline Y3AgHg4 at its relaxed geometry.

```
Y3AgHg4
1.0
3.956 0.000 0.000
0.189 4.549 0.000
1.047 1.613 11.380
Y Ag Hg
3 1 4
Direct
0.000 0.000 0.000
0.425 0.897 0.290
0.575 0.103 0.710
0.500 0.500 0.000
0.045 0.558 0.809
0.191 0.712 0.556
0.809 0.288 0.444
0.955 0.442 0.191
```

- Formation energy from the elements: -303.3 meV/atom
- Final energy: -3.23 eV per atom
- SG: P-1 (2)
- Density of states at the Fermi level: 5.6 states/eV/f.u.

***

DFT (PBE-GGA) results for crystalline NdTmRu at its relaxed geometry.

```
NdTmRu
1.0
4.586 0.000 0.000
0.000 4.586 0.000
0.000 0.000 7.142
Nd Tm Ru
2 2 2
Direct
0.250 0.250 0.125
0.750 0.750 0.875
0.250 0.750 0.500
0.750 0.250 0.500
0.250 0.250 0.738
0.750 0.750 0.262
```

- Formation energy from the elements: -265.1 meV/atom
- Final energy: -6.44 eV per atom
- SG: P4/nmm (129)
- Density of states at the Fermi level: 1.7 states/eV/f.u.
- Energy relative to the lowest polymorph listed for this composition: 0.03 eV/f.u.

***

DFT (PBE-GGA) results for crystalline Pm2ErScS6 at its relaxed geometry.

```
Pm2ErScS6
1.0
3.456 1.995 6.054
-3.456 1.995 6.054
0.000 -3.991 6.054
Pm Er Sc S
2 1 1 6
Direct
0.000 0.000 0.000
0.499 0.499 0.499
0.206 0.206 0.206
0.704 0.704 0.704
0.071 0.430 0.825
0.333 0.916 0.584
0.430 0.825 0.071
0.584 0.333 0.916
0.825 0.071 0.430
0.916 0.584 0.333
```

- Final energy: -6.51 eV per atom
- SG: R3 (146)
- Density of states at the Fermi level: 0.0 states/eV/f.u.

***

DFT (PBE-GGA) results for crystalline GaAg at its relaxed geometry.

```
GaAg
1.0
4.589 0.000 0.000
-2.295 3.975 0.000
0.000 0.000 5.258
Ga Ag
2 2
Direct
0.333 0.667 0.250
0.667 0.333 0.750
0.333 0.667 0.750
0.667 0.333 0.250
```

- Formation energy from the elements: 274.1 meV/atom
- Final energy: -2.66 eV per atom
- SG: P6_3/mmc (194)
- Density of states at the Fermi level: 1.3 states/eV/f.u.

***

DFT (PBE-GGA) results for crystalline AcPmNd2 at its relaxed geometry.

```
AcPmNd2
1.0
5.292 0.000 0.000
0.000 5.292 0.000
0.000 0.000 5.301
Ac Pm Nd
1 1 2
Direct
0.000 0.000 0.000
0.500 0.500 0.000
0.000 0.500 0.500
0.500 0.000 0.500
```

- Formation energy from the elements: 24.4 meV/atom
- Final energy: -4.57 eV per atom
- SG: P4/mmm (123)
- Density of states at the Fermi level: 6.8 states/eV/f.u.
- Energy relative to the lowest polymorph listed for this composition: 0.00 eV/f.u.

***

DFT (PBE-GGA) results for crystalline Sc2ZnNi at its relaxed geometry.

```
Sc2ZnNi
1.0
6.384 0.000 0.000
0.000 6.384 0.000
0.000 0.000 6.384
Sc Zn Ni
8 4 4
Direct
0.000 0.000 0.000
0.000 0.500 0.500
0.250 0.250 0.250
0.250 0.750 0.750
0.500 0.000 0.500
0.500 0.500 0.000
0.750 0.250 0.750
0.750 0.750 0.250
0.250 0.250 0.750
0.250 0.750 0.250
0.750 0.250 0.250
0.750 0.750 0.750
0.000 0.000 0.500
0.000 0.500 0.000
0.500 0.000 0.000
0.500 0.500 0.500
```

- Formation energy from the elements: -242.1 meV/atom
- Final energy: -5.17 eV per atom
- SG: F-43m (216)
- Density of states at the Fermi level: 0.2 states/eV/f.u.

***

DFT (PBE-GGA) results for crystalline Y2ReCl at its relaxed geometry.

```
Y2ReCl
1.0
3.424 0.000 0.000
0.000 3.424 0.000
0.000 0.000 7.858
Y Re Cl
2 1 1
Direct
0.000 0.000 0.212
0.000 0.000 0.788
0.500 0.500 0.000
0.500 0.500 0.500
```

- Final energy: -7.38 eV per atom
- SG: P4/mmm (123)
- Density of states at the Fermi level: 2.3 states/eV/f.u.
- Energy relative to the lowest polymorph listed for this composition: 0.25 eV/f.u.

***

DFT (PBE-GGA) results for crystalline MnTl2As at its relaxed geometry.

```
MnTl2As
1.0
4.227 0.000 0.000
0.000 4.227 0.000
0.000 0.000 10.808
Mn Tl As
2 4 2
Direct
0.000 0.000 0.000
0.500 0.500 0.500
0.000 0.500 0.250
0.000 0.500 0.750
0.500 0.000 0.250
0.500 0.000 0.750
0.000 0.000 0.500
0.500 0.500 0.000
```

- Formation energy from the elements: 394.2 meV/atom
- Final energy: -4.24 eV per atom
- SG: I4/mmm (139)
- Density of states at the Fermi level: 2.4 states/eV/f.u.
- Energy relative to the lowest polymorph listed for this composition: 1.26 eV/f.u.

***

DFT (PBE-GGA) results for crystalline Pm3Al4Ir2 at its relaxed geometry.

```
Pm3Al4Ir2
1.0
5.288 -2.268 0.000
5.288 2.268 0.000
-1.857 0.000 8.177
Pm Al Ir
3 4 2
Direct
0.000 0.000 0.000
0.388 0.388 0.300
0.612 0.612 0.700
0.105 0.105 0.412
0.281 0.281 0.916
0.719 0.719 0.084
0.895 0.895 0.588
0.312 0.312 0.632
0.688 0.688 0.368
```

- Formation energy from the elements: -662.1 meV/atom
- Final energy: -5.88 eV per atom
- SG: C2/m (12)
- Density of states at the Fermi level: 6.6 states/eV/f.u.

***

DFT (PBE-GGA) results for crystalline BPO at its relaxed geometry.

```
BPO
1.0
3.256 0.000 0.000
0.009 3.915 0.000
1.495 0.410 6.354
B P O
2 2 2
Direct
0.000 0.000 0.000
0.082 0.370 0.846
0.233 0.369 0.530
0.763 0.998 0.468
0.058 0.699 0.900
0.872 0.967 0.218
```

- Final energy: -6.56 eV per atom
- SG: P1 (1)
- Density of states at the Fermi level: 0.4 states/eV/f.u.
- Energy relative to the lowest polymorph listed for this composition: 0.62 eV/f.u.

***

DFT (PBE-GGA) results for crystalline K2ZnPt at its relaxed geometry.

```
K2ZnPt
1.0
8.454 0.000 0.000
0.000 8.329 0.000
-0.007 0.000 3.152
K Zn Pt
4 2 2
Direct
0.250 0.250 0.000
0.250 0.750 0.000
0.750 0.250 0.000
0.750 0.750 0.000
0.000 0.000 0.500
0.500 0.500 0.500
0.000 0.500 0.500
0.500 0.000 0.500
```

- Formation energy from the elements: 222.3 meV/atom
- Final energy: -2.16 eV per atom
- SG: C2/m (12)
- Density of states at the Fermi level: 1.5 states/eV/f.u.

***

DFT (PBE-GGA) results for crystalline CrMo2HOs at its relaxed geometry.

```
CrMo2HOs
1.0
3.959 0.000 0.000
0.000 3.959 0.000
0.000 0.000 3.841
Cr Mo H Os
1 2 1 1
Direct
0.000 0.000 0.000
0.000 0.500 0.500
0.500 0.000 0.500
0.000 0.000 0.500
0.500 0.500 0.000
```

- Final energy: -9.04 eV per atom
- SG: P4/mmm (123)
- Density of states at the Fermi level: 4.8 states/eV/f.u.

***

The lowest final energy belongs to which entry?
CrMo2HOs

***

Which formula does entry 7 have?
Y2ReCl